Run w
Entry from the Alexandria database: an optimized crystal structure of FeCo2B2 (PBE).

DOS(E_F) in states/eV/cell: 3.9
M_tot in μB per formula unit: 2.32

Unit cell a=3.5459 b=3.5459 c=4.5172 alpha=66.89 beta=66.89 gamma=90.00
Each line ends with the local moment (μB).
Fractional positions:
B (0.7500, 0.2500, 0.5000)  -0.06
B (0.2500, 0.7500, 0.5000)  -0.06
Co (0.3549, 0.3549, 0.2901)  0.00
Co (0.6451, 0.6451, 0.7099)  0.00
Fe (0.0000, 0.0000, 0.0000)  2.50

Run x
Entry from the Alexandria database: an optimized crystal structure of FeCo2B2 (PBE).

DOS(E_F) in states/eV/cell: 11.1
M_tot in μB per formula unit: 0.00

Unit cell a=5.7306 b=5.7306 c=2.5135 alpha=90.00 beta=90.00 gamma=90.00
Fractional positions:
B (0.3728, 0.8728, 0.0000)
B (0.8728, 0.6272, 0.0000)
B (0.6272, 0.1272, 0.0000)
B (0.1272, 0.3728, 0.0000)
Co (0.1671, 0.6671, 0.5000)
Co (0.6671, 0.8329, 0.5000)
Co (0.8329, 0.3329, 0.5000)
Co (0.3329, 0.1671, 0.5000)
Fe (0.0000, 0.0000, 0.0000)
Fe (0.5000, 0.5000, 0.0000)

Winner for stability: run x

Run w
Entry from the Alexandria database: an optimized crystal structure of Fe2CoB2 (PBE).

DOS(E_F) in states/eV/cell: 9.5
M_tot in μB per formula unit: 4.82

Unit cell a=5.4546 b=5.4546 c=2.8869 alpha=90.00 beta=90.00 gamma=90.00
Each line ends with the local moment (μB).
Fractional positions:
B (0.3811, 0.8811, 0.0000)  -0.07
B (0.8811, 0.6189, 0.0000)  -0.07
B (0.6189, 0.1189, 0.0000)  -0.07
B (0.1189, 0.3811, 0.0000)  -0.07
Co (0.0000, 0.0000, 0.0000)  1.29
Co (0.5000, 0.5000, 0.0000)  1.28
Fe (0.1699, 0.6699, 0.5000)  1.86
Fe (0.6699, 0.8301, 0.5000)  1.85
Fe (0.8301, 0.3301, 0.5000)  1.86
Fe (0.3301, 0.1699, 0.5000)  1.85

Run x
Entry from the Alexandria database: an optimized crystal structure of Fe2CoB2 (PBE).

DOS(E_F) in states/eV/cell: 4.2
M_tot in μB per formula unit: 4.32

Unit cell a=3.0253 b=4.2121 c=4.2121 alpha=62.96 beta=68.95 gamma=68.95
Each line ends with the local moment (μB).
Fractional positions:
Fe (0.8027, 0.6973, 0.6973)  1.91
Fe (0.1973, 0.3027, 0.3027)  1.91
Co (0.0000, 0.0000, 0.0000)  0.74
B (0.5000, 0.6999, 0.3001)  -0.09
B (0.5000, 0.3001, 0.6999)  -0.09

Winner for stability: run w

Run w
Entry from the Alexandria database: an optimized crystal structure of TaFeCo2B (PBE).

DOS(E_F) in states/eV/cell: 7.9
M_tot in μB per formula unit: 4.24

Unit cell a=4.4398 b=4.2487 c=4.4398 alpha=90.00 beta=90.00 gamma=90.00
Each line ends with the local moment (μB).
Fractional positions:
B (0.0000, 0.5000, 0.0000)  -0.03
Co (0.0000, 0.0000, 0.5000)  0.64
Co (0.5000, 0.0000, 0.0000)  0.64
Fe (0.5000, 0.5000, 0.5000)  3.25
Ta (0.0000, 0.0000, 0.0000)  -0.17

Run x
Entry from the Alexandria database: an optimized crystal structure of TaFeCo2B (PBE).

DOS(E_F) in states/eV/cell: 1.6
M_tot in μB per formula unit: 0.00

Unit cell a=3.7932 b=3.7932 c=3.8417 alpha=90.00 beta=90.00 gamma=90.00
Fractional positions:
B (0.0000, 0.0000, 0.0000)
Co (0.0000, 0.5000, 0.0000)
Co (0.5000, 0.0000, 0.0000)
Fe (0.0000, 0.0000, 0.5000)
Ta (0.5000, 0.5000, 0.5000)

Winner for stability: run x

Run w
Entry from the Alexandria database: an optimized crystal structure of GaCo3B (PBE).

DOS(E_F) in states/eV/cell: 2.4
M_tot in μB per formula unit: 1.02

Unit cell a=3.7796 b=3.7796 c=3.7796 alpha=90.00 beta=90.00 gamma=90.00
Each line ends with the local moment (μB).
Fractional positions:
B (0.0000, 0.0000, 0.0000)  -0.04
Co (0.0000, 0.5000, 0.0000)  0.40
Co (0.0000, 0.0000, 0.5000)  0.46
Co (0.5000, 0.0000, 0.0000)  0.28
Ga (0.5000, 0.5000, 0.5000)  -0.04

Run x
Entry from the Alexandria database: an optimized crystal structure of GaCo3B (PBE).

DOS(E_F) in states/eV/cell: 9.1
M_tot in μB per formula unit: 4.39

Unit cell a=4.2837 b=4.2837 c=4.2837 alpha=90.00 beta=90.00 gamma=90.00
Each line ends with the local moment (μB).
Fractional positions:
B (0.5000, 0.5000, 0.5000)  0.02
Co (0.0000, 0.5000, 0.0000)  1.55
Co (0.0000, 0.0000, 0.5000)  1.44
Co (0.5000, 0.0000, 0.0000)  1.57
Ga (0.0000, 0.0000, 0.0000)  -0.14

Winner for stability: run w

Run w
Entry from the Alexandria database: an optimized crystal structure of Co2BH2 (PBE).

DOS(E_F) in states/eV/cell: 5.5
M_tot in μB per formula unit: 0.00

Unit cell a=5.1510 b=5.1510 c=2.6838 alpha=90.00 beta=90.00 gamma=90.00
Fractional positions:
H (0.1980, 0.6980, 0.5000)
H (0.6980, 0.8020, 0.5000)
H (0.8020, 0.3020, 0.5000)
H (0.3020, 0.1980, 0.5000)
B (0.0000, 0.0000, 0.0000)
B (0.5000, 0.5000, 0.0000)
Co (0.3344, 0.8344, 0.0000)
Co (0.8344, 0.6656, 0.0000)
Co (0.6656, 0.1656, 0.0000)
Co (0.1656, 0.3344, 0.0000)

Run x
Entry from the Alexandria database: an optimized crystal structure of Co2BH2 (PBE).

DOS(E_F) in states/eV/cell: 2.3
M_tot in μB per formula unit: 0.00

Unit cell a=2.5481 b=2.5481 c=5.0854 alpha=75.49 beta=75.49 gamma=90.00
Fractional positions:
H (0.7500, 0.2500, 0.5000)
H (0.2500, 0.7500, 0.5000)
B (0.0000, 0.0000, 0.0000)
Co (0.3734, 0.3734, 0.2532)
Co (0.6266, 0.6266, 0.7468)

Winner for stability: run x

Run w
Entry from the Alexandria database: an optimized crystal structure of CoB3H (PBE).

DOS(E_F) in states/eV/cell: 0.5
M_tot in μB per formula unit: 0.97

Unit cell a=3.7160 b=3.7160 c=3.7160 alpha=90.00 beta=90.00 gamma=90.00
Each line ends with the local moment (μB).
Fractional positions:
H (0.5000, 0.5000, 0.5000)  0.32
B (0.0000, 0.5000, 0.0000)  0.01
B (0.0000, 0.0000, 0.5000)  0.01
B (0.5000, 0.0000, 0.0000)  0.05
Co (0.0000, 0.0000, 0.0000)  0.18

Run x
Entry from the Alexandria database: an optimized crystal structure of CoB3H (PBE).

DOS(E_F) in states/eV/cell: 2.9
M_tot in μB per formula unit: 0.19

Unit cell a=3.1049 b=3.1049 c=3.1049 alpha=90.00 beta=90.00 gamma=90.00
Each line ends with the local moment (μB).
Fractional positions:
H (0.0000, 0.0000, 0.0000)  0.00
B (0.0000, 0.5000, 0.0000)  0.01
B (0.0000, 0.0000, 0.5000)  0.03
B (0.5000, 0.0000, 0.0000)  -0.01
Co (0.5000, 0.5000, 0.5000)  0.15

Winner for stability: run x

Run w
Entry from the Alexandria database: an optimized crystal structure of CoB2H6 (PBE).

DOS(E_F) in states/eV/cell: 2.1
M_tot in μB per formula unit: 0.00

Unit cell a=6.1314 b=4.3850 c=4.3850 alpha=80.15 beta=74.81 gamma=74.81
Fractional positions:
Co (0.2500, 0.1115, 0.8885)
Co (0.7500, 0.8885, 0.1115)
B (0.1038, 0.6103, 0.8717)
B (0.3962, 0.1283, 0.3897)
B (0.8962, 0.3897, 0.1283)
B (0.6038, 0.8717, 0.6103)
H (0.5846, 0.6098, 0.7234)
H (0.9154, 0.2766, 0.3902)
H (0.4154, 0.3902, 0.2766)
H (0.0846, 0.7234, 0.6098)
H (0.8234, 0.8268, 0.4318)
H (0.6766, 0.5682, 0.1732)
H (0.1766, 0.1732, 0.5682)
H (0.3234, 0.4318, 0.8268)
H (0.1696, 0.7691, 0.0401)
H (0.3304, 0.9599, 0.2309)
H (0.8304, 0.2309, 0.9599)
H (0.6696, 0.0401, 0.7691)

Run x
Entry from the Alexandria database: an optimized crystal structure of CoB2H6 (PBE).

DOS(E_F) in states/eV/cell: 1.5
M_tot in μB per formula unit: 0.05

Unit cell a=5.8993 b=3.8456 c=3.8454 alpha=46.68 beta=65.13 gamma=65.14
Each line ends with the local moment (μB).
Fractional positions:
Co (0.0000, 0.0000, 0.0000)  0.06
B (0.9388, 0.7315, 0.7315)  0.00
B (0.0612, 0.2685, 0.2685)  0.00
H (0.2932, 0.8980, 0.8980)  0.00
H (0.6909, 0.6649, 0.9437)  0.00
H (0.6909, 0.9437, 0.6649)  0.00
H (0.7068, 0.1020, 0.1020)  0.00
H (0.3091, 0.3351, 0.0563)  0.00
H (0.3091, 0.0563, 0.3351)  0.00

Winner for stability: run w

Run w
Entry from the Alexandria database: an optimized crystal structure of CoB2H (PBE).

DOS(E_F) in states/eV/cell: 2.1
M_tot in μB per formula unit: 0.00

Unit cell a=3.3408 b=3.3408 c=3.3408 alpha=60.00 beta=60.00 gamma=60.00
Fractional positions:
H (0.0000, 0.0000, 0.0000)
B (0.2500, 0.2500, 0.2500)
B (0.7500, 0.7500, 0.7500)
Co (0.5000, 0.5000, 0.5000)

Run x
Entry from the Alexandria database: an optimized crystal structure of CoB2H (PBE).

DOS(E_F) in states/eV/cell: 7.6
M_tot in μB per formula unit: 1.10

Unit cell a=3.2395 b=3.2395 c=5.8935 alpha=74.05 beta=74.05 gamma=90.00
Each line ends with the local moment (μB).
Fractional positions:
H (0.5000, 0.5000, 0.0000)  0.02
H (0.2500, 0.7500, 0.5000)  0.01
B (0.3755, 0.1250, 0.2500)  0.01
B (0.3745, 0.6250, 0.2500)  0.01
B (0.3750, 0.6245, 0.7500)  0.01
B (0.8750, 0.6255, 0.7500)  0.01
Co (0.0000, 0.0000, 0.0000)  1.05
Co (0.7500, 0.2500, 0.5000)  1.04

Winner for stability: run x